No. 1
# TiSb2TeMo (SCAN, PBEsol geometry)
data_TiSb2TeMo
_chemical_formula_sum 'Ti1 Sb2 Te1 Mo1'
_symmetry_space_group_name_H-M 'P 4/m m m'
_symmetry_Int_Tables_number 123
_symmetry_space_group_name_Hall '-P 4 2'
_cell_length_a 5.137
_cell_length_b 5.137
_cell_length_c 5.294
_cell_angle_alpha 90.00
_cell_angle_beta 90.00
_cell_angle_gamma 90.00
loop_
_atom_site_label
_atom_site_type_symbol
_atom_site_fract_x
_atom_site_fract_y
_atom_site_fract_z
Ti1 Ti 0.000 0.000 0.000
Sb1 Sb 0.000 0.500 0.500
Te1 Te 0.500 0.500 0.000
Mo1 Mo 0.500 0.500 0.500
# Total energy = -2.3370 Ry per atom
# Formation energy (no corrections) = 741 meV per atom

***

No. 2
# P4Se3Br2 (SCAN, PBEsol geometry)
data_P4Se3Br2
_chemical_formula_sum 'P32 Se24 Br16'
_symmetry_space_group_name_H-M 'C 1 2/c 1'
_symmetry_Int_Tables_number 15
_cell_length_a 12.400
_cell_length_b 14.661
_cell_length_c 12.258
_cell_angle_alpha 90.00
_cell_angle_beta 116.51
_cell_angle_gamma 90.00
loop_
_symmetry_equiv_pos_as_xyz
'x,y,z'
'-x,-y,-z'
'-x,y,-z+1/2'
'x,-y,z+1/2'
'x+1/2,y+1/2,z'
'-x+1/2,-y+1/2,-z'
'-x+1/2,y+1/2,-z+1/2'
'x+1/2,-y+1/2,z+1/2'
loop_
_atom_site_label
_atom_site_type_symbol
_atom_site_fract_x
_atom_site_fract_y
_atom_site_fract_z
P1 P 0.027 0.117 0.127
P2 P 0.091 0.266 0.930
P3 P 0.123 0.020 0.424
P4 P 0.152 0.364 0.833
Se1 Se 0.000 0.219 0.250
Se2 Se 0.000 0.465 0.750
Se3 Se 0.113 0.257 0.685
Se4 Se 0.156 0.012 0.254
Br1 Br 0.105 0.363 0.082
Br2 Br 0.227 0.385 0.454
# Total energy = -1.1621 Ry per atom
# Formation energy (no corrections) = -172 meV per atom

***

No. 3
# FeSiAu (SCAN, PBEsol geometry)
data_FeSiAu
_chemical_formula_sum 'Fe2 Si2 Au2'
_symmetry_space_group_name_H-M 'I 4 m m'
_symmetry_Int_Tables_number 107
_symmetry_space_group_name_Hall 'I 4 -2'
_cell_length_a 2.872
_cell_length_b 2.872
_cell_length_c 9.486
_cell_angle_alpha 90.00
_cell_angle_beta 90.00
_cell_angle_gamma 90.00
loop_
_atom_site_label
_atom_site_type_symbol
_atom_site_fract_x
_atom_site_fract_y
_atom_site_fract_z
Fe1 Fe 0.000 0.000 0.000
Si1 Si 0.000 0.000 0.606
Au1 Au 0.000 0.000 0.297
# Total energy = -2.3741 Ry per atom
# Formation energy (no corrections) = 133 meV per atom

***

No. 4
# TlPbAu (SCAN, PBEsol geometry)
data_TlPbAu
_chemical_formula_sum 'Tl1 Pb1 Au1'
_symmetry_space_group_name_H-M 'P 3 m 1'
_symmetry_Int_Tables_number 156
_cell_length_a 4.6401
_cell_length_b 4.6401
_cell_length_c 4.1559
_cell_angle_alpha 90.00
_cell_angle_beta 90.00
_cell_angle_gamma 120.00
loop_
_symmetry_equiv_pos_as_xyz
'x,y,z'
'-y,x-y,z'
'-x+y,-x,z'
'-y,-x,z'
'-x+y,y,z'
'x,x-y,z'
loop_
_atom_site_label
_atom_site_type_symbol
_atom_site_fract_x
_atom_site_fract_y
_atom_site_fract_z
Tl1 Tl 0.0000 0.0000 0.0000
Pb1 Pb 0.3333 0.6667 0.4456
Au1 Au 0.6667 0.3333 0.7280
# Total energy = -5.3244 Ry per atom
# Formation enthalpy at 0 K = -0.01 eV/atom

***

No. 5
# MnZn2Ir (SCAN, PBEsol geometry)
data_MnZn2Ir
_chemical_formula_sum 'Mn2 Zn4 Ir2'
_symmetry_space_group_name_H-M 'I -4 m 2'
_symmetry_Int_Tables_number 119
_symmetry_space_group_name_Hall 'I -4 -2'
_cell_length_a 3.809
_cell_length_b 3.809
_cell_length_c 7.378
_cell_angle_alpha 90.00
_cell_angle_beta 90.00
_cell_angle_gamma 90.00
loop_
_atom_site_label
_atom_site_type_symbol
_atom_site_fract_x
_atom_site_fract_y
_atom_site_fract_z
Mn1 Mn 0.000 0.000 0.000
Zn1 Zn 0.000 0.000 0.500
Zn2 Zn 0.000 0.500 0.250
Ir1 Ir 0.000 0.500 0.750
# Total energy = -2.1611 Ry per atom
# Formation enthalpy at 0 K = -0.31 eV/atom

***

No. 6
# PtCSe2N (SCAN, PBEsol geometry)
data_PtCSe2N
_chemical_formula_sum 'Pt1 C1 Se2 N1'
_symmetry_space_group_name_H-M 'P 4/m m m'
_symmetry_Int_Tables_number 123
_symmetry_space_group_name_Hall '-P 4 2'
_cell_length_a 5.465
_cell_length_b 5.465
_cell_length_c 2.514
_cell_angle_alpha 90.00
_cell_angle_beta 90.00
_cell_angle_gamma 90.00
loop_
_atom_site_label
_atom_site_type_symbol
_atom_site_fract_x
_atom_site_fract_y
_atom_site_fract_z
Pt1 Pt 0.000 0.000 0.000
C1 C 0.500 0.500 0.500
Se1 Se 0.000 0.500 0.500
N1 N 0.500 0.500 0.000
# Total energy = -1.8377 Ry per atom
# Formation energy (no corrections) = 945 meV per atom

***

No. 7
# AgTe2 (SCAN, PBEsol geometry)
data_AgTe2
_chemical_formula_sum 'Ag4 Te8'
_symmetry_space_group_name_H-M 'I 4/m c m'
_symmetry_Int_Tables_number 140
_symmetry_space_group_name_Hall '-I 4 2c'
_cell_length_a 6.307
_cell_length_b 6.307
_cell_length_c 7.725
_cell_angle_alpha 90.00
_cell_angle_beta 90.00
_cell_angle_gamma 90.00
loop_
_atom_site_label
_atom_site_type_symbol
_atom_site_fract_x
_atom_site_fract_y
_atom_site_fract_z
Ag1 Ag 0.000 0.000 0.250
Te1 Te 0.160 0.340 0.000
# Total energy = -2.5851 Ry per atom
# Formation energy (no corrections) = 118 meV per atom

***

No. 8
# AlB2OF (SCAN, PBEsol geometry)
data_AlB2OF
_chemical_formula_sum 'Al1 B2 O1 F1'
_symmetry_space_group_name_H-M 'P 4/m m m'
_symmetry_Int_Tables_number 123
_symmetry_space_group_name_Hall '-P 4 2'
_cell_length_a 3.305
_cell_length_b 3.305
_cell_length_c 4.729
_cell_angle_alpha 90.00
_cell_angle_beta 90.00
_cell_angle_gamma 90.00
loop_
_atom_site_label
_atom_site_type_symbol
_atom_site_fract_x
_atom_site_fract_y
_atom_site_fract_z
Al1 Al 0.000 0.000 0.000
B1 B 0.000 0.500 0.500
O1 O 0.500 0.500 0.000
F1 F 0.500 0.500 0.500
# Total energy = -0.3897 Ry per atom
# Formation energy (no corrections) = 1174 meV per atom

***

No. 9
# MnSeOF2 (SCAN, PBEsol geometry)
data_MnSeOF2
_chemical_formula_sum 'Mn1 Se1 O1 F2'
_symmetry_space_group_name_H-M 'P 4/m m m'
_symmetry_Int_Tables_number 123
_symmetry_space_group_name_Hall '-P 4 2'
_cell_length_a 3.926
_cell_length_b 3.926
_cell_length_c 3.983
_cell_angle_alpha 90.00
_cell_angle_beta 90.00
_cell_angle_gamma 90.00
loop_
_atom_site_label
_atom_site_type_symbol
_atom_site_fract_x
_atom_site_fract_y
_atom_site_fract_z
Mn1 Mn 0.000 0.000 0.000
Se1 Se 0.500 0.500 0.500
O1 O 0.000 0.000 0.500
F1 F 0.000 0.500 0.000
# Total energy = -0.8533 Ry per atom
# Formation energy (no corrections) = -1280 meV per atom

***

No. 10
# RbCa2BeF (SCAN, PBEsol geometry)
data_RbCa2BeF
_chemical_formula_sum 'Rb1 Ca2 Be1 F1'
_symmetry_space_group_name_H-M 'P 4/m m m'
_symmetry_Int_Tables_number 123
_symmetry_space_group_name_Hall '-P 4 2'
_cell_length_a 5.390
_cell_length_b 5.390
_cell_length_c 6.482
_cell_angle_alpha 90.00
_cell_angle_beta 90.00
_cell_angle_gamma 90.00
loop_
_atom_site_label
_atom_site_type_symbol
_atom_site_fract_x
_atom_site_fract_y
_atom_site_fract_z
Rb1 Rb 0.000 0.000 0.000
Ca1 Ca 0.000 0.500 0.500
Be1 Be 0.000 0.000 0.500
F1 F 0.500 0.500 0.000
# Total energy = -0.7139 Ry per atom
# Formation energy (no corrections) = -121 meV per atom

***

No. 11
# InReSi2 (SCAN, PBEsol geometry)
data_InReSi2
_chemical_formula_sum 'In4 Re4 Si8'
_symmetry_space_group_name_H-M 'I -4 2 d'
_symmetry_Int_Tables_number 122
_symmetry_space_group_name_Hall 'I -4 2bw'
_cell_length_a 5.830
_cell_length_b 5.830
_cell_length_c 11.141
_cell_angle_alpha 90.00
_cell_angle_beta 90.00
_cell_angle_gamma 90.00
loop_
_atom_site_label
_atom_site_type_symbol
_atom_site_fract_x
_atom_site_fract_y
_atom_site_fract_z
In1 In 0.000 0.000 0.000
Re1 Re 0.000 0.000 0.500
Si1 Si 0.195 0.250 0.625
# Total energy = -2.2319 Ry per atom
# Formation energy (no corrections) = 762 meV per atom

***

No. 12
# Ca5Tl3 (SCAN, PBEsol geometry)
data_Ca5Tl3
_chemical_formula_sum 'Ca20 Tl12'
_symmetry_space_group_name_H-M 'I 4/m c m'
_symmetry_Int_Tables_number 140
_symmetry_space_group_name_Hall '-I 4 2c'
_cell_length_a 12.537
_cell_length_b 12.537
_cell_length_c 6.243
_cell_angle_alpha 90.00
_cell_angle_beta 90.00
_cell_angle_gamma 90.00
loop_
_atom_site_label
_atom_site_type_symbol
_atom_site_fract_x
_atom_site_fract_y
_atom_site_fract_z
Ca1 Ca 0.000 0.500 0.250
Ca2 Ca 0.082 0.215 0.000
Tl1 Tl 0.000 0.000 0.250
Tl2 Tl 0.160 0.340 0.500
# Total energy = -2.4744 Ry per atom
# Formation enthalpy at 0 K = -0.49 eV/atom

***

No. 13
# Te2PbCl (SCAN, PBEsol geometry)
data_Te2PbCl
_chemical_formula_sum 'Te6 Pb3 Cl3'
_symmetry_space_group_name_H-M 'R -3 m'
_symmetry_Int_Tables_number 166
_symmetry_space_group_name_Hall '-R 3 2"'
_cell_length_a 4.3700
_cell_length_b 4.3700
_cell_length_c 26.4643
_cell_angle_alpha 90.00
_cell_angle_beta 90.00
_cell_angle_gamma 120.00
loop_
_atom_site_label
_atom_site_type_symbol
_atom_site_fract_x
_atom_site_fract_y
_atom_site_fract_z
Te1 Te 0.0000 0.0000 0.0988
Pb1 Pb 0.0000 0.0000 0.5000
Cl1 Cl 0.0000 0.0000 0.0000
# Total energy = -2.9125 Ry per atom
# Formation energy (no corrections) = -61 meV per atom